Version A
## PtPbBr6 (GGA-PBE)

Data for an optimized crystal structure of PtPbBr6.

Unit cell a=7.1117 b=7.1117 c=10.7500 alpha=90.51 beta=90.51 gamma=73.23
Fractional coordinates of all 16 atoms:
Br 0.3940 0.7458 0.1175
Br 0.8525 0.7944 0.0022
Br 0.5574 0.1562 0.1999
Br 0.7458 0.3940 0.6175
Br 0.8438 0.4426 0.3001
Br 0.1562 0.5574 0.6999
Br 0.2056 0.1475 0.4978
Br 0.2542 0.6060 0.3825
Br 0.1475 0.2056 0.9978
Br 0.6060 0.2542 0.8825
Br 0.7944 0.8525 0.5022
Br 0.4426 0.8438 0.8001
Pb 0.9893 0.0107 0.7500
Pb 0.0107 0.9893 0.2500
Pt 0.5000 0.0000 0.0000
Pt 0.0000 0.5000 0.5000

Computed properties:
M_tot in μB/f.u.: 0.0



Version B
## PtPbBr6 (GGA-PBE)

Data for an optimized crystal structure of PtPbBr6.

Unit cell a=6.7963 b=6.7932 c=7.4319 alpha=62.78 beta=62.76 gamma=59.98
Fractional coordinates of all 8 atoms:
Pb 0.5000 0.5000 0.5000
Br 0.7960 0.0346 0.7721
Br 0.3975 0.7958 0.7722
Br 0.2040 0.9654 0.2279
Br 0.9655 0.6025 0.2277
Br 0.6025 0.2042 0.2278
Br 0.0345 0.3975 0.7723
Pt 0.0000 0.0000 0.0000

Computed properties:
M_tot in μB/f.u.: 0.0



In order of decreasing stability: version A, version B.